(1)
The following is a PBE calculation of a geometry-optimized Pm2PrSi2 structure, from Alexandria via LeMat-Bulk.

Cell: 5.825 4.157 11.649 Å, 90.00 95.10 90.00°
Fractional coordinates of all 10 atoms:
Pm  0.097  0.250  0.372
Pm  0.253  0.250  0.056
Pm  0.747  0.750  0.944
Pm  0.903  0.750  0.628
Pr  0.396  0.250  0.718
Pr  0.604  0.750  0.282
Si  0.237  0.750  0.875
Si  0.382  0.750  0.520
Si  0.618  0.250  0.480
Si  0.763  0.250  0.125

Calculated values
Its density is 5.76 g/cm³. Its calculated volume is 28.1 A^3/atom. The value obtained for the energy above the most stable polymorph in this dataset is 148 meV/atom. The value obtained for the uncorrected energy is -5.5023 eV per atom.

(2)
The following is a PBE calculation of a geometry-optimized PmPr2Si structure, from Alexandria via LeMat-Bulk.

Cell: 10.869 10.869 10.869 Å, 20.88 20.88 20.88°
Fractional coordinates of all 4 atoms:
Pm  0.000  0.000  0.000
Pr  0.111  0.111  0.111
Pr  0.889  0.889  0.889
Si  0.500  0.500  0.500

Calculated values
Its density is 5.29 g/cm³. Its calculated volume is 35.7 A^3/atom. The value obtained for the energy above the most stable polymorph in this dataset is 296 meV/atom. The value obtained for the uncorrected energy is -4.8875 eV per atom.

(3)
The following is a PBE calculation of a geometry-optimized Pm2PrSi structure, from Alexandria via LeMat-Bulk.

Cell: 4.787 4.787 4.748 Å, 90.00 90.00 90.00°
Fractional coordinates of all 4 atoms:
Pm  0.000  0.500  0.000
Pm  0.500  0.000  0.000
Pr  0.000  0.000  0.500
Si  0.500  0.500  0.500

Calculated values
Its density is 7.01 g/cm³. Its calculated volume is 27.2 A^3/atom. The value obtained for the energy above the most stable polymorph in this dataset is 115 meV/atom. The value obtained for the uncorrected energy is -5.1759 eV per atom.

(4)
The following is a PBE calculation of a geometry-optimized PmPr2Si structure, from Alexandria via LeMat-Bulk.

Cell: 4.790 4.790 4.824 Å, 90.00 90.00 90.00°
Fractional coordinates of all 4 atoms:
Pm  0.000  0.000  0.000
Pr  0.000  0.500  0.500
Pr  0.500  0.000  0.500
Si  0.500  0.500  0.000

Calculated values
Its density is 6.83 g/cm³. Its calculated volume is 27.7 A^3/atom. The value obtained for the energy above the most stable polymorph in this dataset is 6 meV/atom. The value obtained for the uncorrected energy is -5.1777 eV per atom.

(5)
The following is a PBE calculation of a geometry-optimized Pm2Pr5Si4 structure, from Alexandria via LeMat-Bulk.

Cell: 12.540 12.540 6.919 Å, 94.73 94.73 18.52°
Fractional coordinates of all 11 atoms:
Pm  0.238  0.238  0.254
Pm  0.762  0.762  0.746
Pr  0.099  0.099  0.200
Pr  0.134  0.134  0.709
Pr  0.500  0.500  0.500
Pr  0.866  0.866  0.291
Pr  0.901  0.901  0.800
Si  0.020  0.020  0.845
Si  0.329  0.329  0.562
Si  0.671  0.671  0.438
Si  0.980  0.980  0.155

Calculated values
Its density is 5.34 g/cm³. Its calculated volume is 31.3 A^3/atom. The value obtained for the uncorrected energy is -5.2463 eV per atom.

(6)
The following is a PBE calculation of a geometry-optimized Pm2Pr3Si3 structure, from Alexandria via LeMat-Bulk.

Cell: 10.989 10.989 10.989 Å, 158.72 153.35 34.35°
Fractional coordinates of all 8 atoms:
Pm  0.229  0.229  0.000
Pm  0.771  0.771  0.000
Pr  0.000  0.000  0.000
Pr  0.389  0.889  0.500
Pr  0.611  0.111  0.500
Si  0.127  0.627  0.500
Si  0.500  0.500  0.000
Si  0.873  0.373  0.500

Calculated values
Its density is 6.13 g/cm³. Its calculated volume is 27.0 A^3/atom. The value obtained for the uncorrected energy is -5.3707 eV per atom.